The following is a DFT calculation (GGA+U) of VAuO2 after structural relaxation.

Lattice parameters (Å, degrees): 4.2245 4.2245 2.9230 90.00 90.00 90.00
Fractional coordinates of all 4 atoms:
V (0.0000, 0.0000, 0.0000)
Au (0.5000, 0.5000, 0.5000)
O (0.0000, 0.5000, 0.5000)
O (0.5000, 0.0000, 0.5000)

Computed properties:
Raw total energy: -5.315 eV per atom
D(E_F): 2.6 states/eV/cell
Space group: P4/mmm (123)